# Ho12In6Ga, relaxed, DFT GGA-PBE
data_Ho12In6Ga
_chemical_formula_sum 'Ho36 In18 Ga3'
_cell_length_a 13.4137
_cell_length_b 13.4137
_cell_length_c 12.2930
_cell_angle_alpha 90.00
_cell_angle_beta 90.00
_cell_angle_gamma 120.00
_symmetry_space_group_name_H-M 'R -3'
_symmetry_Int_Tables_number 148
_symmetry_space_group_name_Hall '-R 3'
loop_
_atom_site_label
_atom_site_fract_x
_atom_site_fract_y
_atom_site_fract_z
_atom_site_occupancy
Ho1 0.0377 0.8251 0.3925 1
Ho2 0.0511 0.8442 0.8882 1
In1 0.0510 0.7832 0.6475 1
Ga1 0.0000 0.0000 0.0000 1
# DOS(E_F) = 18.5 states/eV/f.u.
# total magnetic moment = 0.0 μB per cell
# electronic total energy = -3.95 eV/atom

# Ho2InGa, relaxed, DFT GGA-PBE
data_Ho2InGa
_chemical_formula_sum 'Ho8 In4 Ga4'
_cell_length_a 7.318
_cell_length_b 7.318
_cell_length_c 7.318
_cell_angle_alpha 90.00
_cell_angle_beta 90.00
_cell_angle_gamma 90.00
_symmetry_space_group_name_H-M 'F m -3 m'
_symmetry_Int_Tables_number 225
_symmetry_space_group_name_Hall '-F 4 2 3'
loop_
_atom_site_label
_atom_site_fract_x
_atom_site_fract_y
_atom_site_fract_z
_atom_site_occupancy
Ho1 0.250 0.250 0.250 1
In1 0.000 0.000 0.000 1
Ga1 0.000 0.000 0.500 1
# DOS(E_F) = 1.4 states/eV/f.u.
# total magnetic moment = 0.0 μB per cell
# distance to the lowest polymorph of the same formula = 0.019 eV per atom

# HoInGa2, relaxed, DFT GGA-PBE
data_HoInGa2
_chemical_formula_sum 'Ho3 In3 Ga6'
_cell_length_a 4.5186
_cell_length_b 4.5186
_cell_length_c 15.2558
_cell_angle_alpha 90.00
_cell_angle_beta 90.00
_cell_angle_gamma 120.00
_symmetry_space_group_name_H-M 'R -3 m'
_symmetry_Int_Tables_number 166
_symmetry_space_group_name_Hall '-R 3 2"'
loop_
_atom_site_label
_atom_site_fract_x
_atom_site_fract_y
_atom_site_fract_z
_atom_site_occupancy
Ho1 0.0000 0.0000 0.0000 1
In1 0.0000 0.0000 0.5000 1
Ga1 0.0000 0.0000 0.2386 1
# DOS(E_F) = 1.6 states/eV/f.u.
# total magnetic moment = 0.0 μB per cell
# distance to the lowest polymorph of the same formula = 0.178 eV per atom

# Ho4In3Ga, relaxed, DFT GGA-PBE
data_Ho4In3Ga
_chemical_formula_sum 'Ho4 In3 Ga1'
_cell_length_a 4.234
_cell_length_b 4.519
_cell_length_c 11.286
_cell_angle_alpha 90.00
_cell_angle_beta 90.00
_cell_angle_gamma 90.00
_symmetry_space_group_name_H-M 'P m m 2'
_symmetry_Int_Tables_number 25
loop_
_symmetry_equiv_pos_as_xyz
'x,y,z'
'-x,-y,z'
'-x,y,z'
'x,-y,z'
loop_
_atom_site_label
_atom_site_fract_x
_atom_site_fract_y
_atom_site_fract_z
_atom_site_occupancy
Ho1 0.000 0.000 0.000 1
Ho2 0.000 0.500 0.485 1
Ho3 0.500 0.000 0.714 1
Ho4 0.500 0.500 0.219 1
In1 0.000 0.500 0.765 1
In2 0.500 0.000 0.431 1
In3 0.500 0.500 0.941 1
Ga1 0.000 0.000 0.268 1
# DOS(E_F) = 6.9 states/eV/f.u.
# total magnetic moment = 0.0 μB per cell
# distance to the lowest polymorph of the same formula = 0.032 eV per atom

# Ho2InGa9, relaxed, DFT GGA-PBE
data_Ho2InGa9
_chemical_formula_sum 'Ho2 In1 Ga9'
_cell_length_a 4.265
_cell_length_b 4.265
_cell_length_c 13.175
_cell_angle_alpha 90.00
_cell_angle_beta 90.00
_cell_angle_gamma 90.00
_symmetry_space_group_name_H-M 'P 4/m m m'
_symmetry_Int_Tables_number 123
_symmetry_space_group_name_Hall '-P 4 2'
loop_
_atom_site_label
_atom_site_fract_x
_atom_site_fract_y
_atom_site_fract_z
_atom_site_occupancy
Ho1 0.000 0.000 0.160 1
In1 0.000 0.000 0.500 1
Ga1 0.000 0.500 0.000 1
Ga2 0.000 0.500 0.329 1
Ga3 0.500 0.500 0.162 1
Ga4 0.500 0.500 0.500 1
# DOS(E_F) = 5.4 states/eV/f.u.
# total magnetic moment = 0.0 μB per cell
# electronic total energy = -3.56 eV/atom

# HoInGa2, relaxed, DFT GGA-PBE
data_HoInGa2
_chemical_formula_sum 'Ho1 In1 Ga2'
_cell_length_a 4.466
_cell_length_b 4.466
_cell_length_c 4.256
_cell_angle_alpha 90.00
_cell_angle_beta 90.00
_cell_angle_gamma 90.00
_symmetry_space_group_name_H-M 'P 4/m m m'
_symmetry_Int_Tables_number 123
_symmetry_space_group_name_Hall '-P 4 2'
loop_
_atom_site_label
_atom_site_fract_x
_atom_site_fract_y
_atom_site_fract_z
_atom_site_occupancy
Ho1 0.000 0.000 0.000 1
In1 0.500 0.500 0.000 1
Ga1 0.000 0.500 0.500 1
# DOS(E_F) = 2.0 states/eV/f.u.
# total magnetic moment = 0.0 μB per cell
# distance to the lowest polymorph of the same formula = 0.000 eV per atom

# Ho3InGa2, relaxed, DFT GGA-PBE
data_Ho3InGa2
_chemical_formula_sum 'Ho3 In1 Ga2'
_cell_length_a 3.565
_cell_length_b 3.565
_cell_length_c 11.219
_cell_angle_alpha 90.00
_cell_angle_beta 90.00
_cell_angle_gamma 90.00
_symmetry_space_group_name_H-M 'P 4/m m m'
_symmetry_Int_Tables_number 123
_symmetry_space_group_name_Hall '-P 4 2'
loop_
_atom_site_label
_atom_site_fract_x
_atom_site_fract_y
_atom_site_fract_z
_atom_site_occupancy
Ho1 0.000 0.000 0.000 1
Ho2 0.000 0.000 0.318 1
In1 0.500 0.500 0.500 1
Ga1 0.500 0.500 0.160 1
# DOS(E_F) = 2.8 states/eV/f.u.
# total magnetic moment = 0.0 μB per cell
# electronic total energy = -4.29 eV/atom

# Ho4In5Ga2, relaxed, DFT GGA-PBE
data_Ho4In5Ga2
_chemical_formula_sum 'Ho4 In5 Ga2'
_cell_length_a 7.806
_cell_length_b 3.544
_cell_length_c 9.778
_cell_angle_alpha 90.00
_cell_angle_beta 94.97
_cell_angle_gamma 90.00
_symmetry_space_group_name_H-M 'P 1 2/m 1'
_symmetry_Int_Tables_number 10
loop_
_symmetry_equiv_pos_as_xyz
'x,y,z'
'-x,-y,-z'
'-x,y,-z'
'x,-y,z'
loop_
_atom_site_label
_atom_site_fract_x
_atom_site_fract_y
_atom_site_fract_z
_atom_site_occupancy
Ho1 0.179 0.000 0.369 1
Ho2 0.253 0.000 0.936 1
In1 0.175 0.500 0.655 1
In2 0.448 0.500 0.187 1
In3 0.500 0.500 0.500 1
Ga1 0.067 0.500 0.129 1
# DOS(E_F) = 7.0 states/eV/f.u.
# total magnetic moment = 0.0 μB per cell
# electronic total energy = -3.92 eV/atom

# Ho4In2Ga, relaxed, DFT GGA-PBE
data_Ho4In2Ga
_chemical_formula_sum 'Ho12 In6 Ga3'
_cell_length_a 5.1673
_cell_length_b 5.1673
_cell_length_c 25.3527
_cell_angle_alpha 90.00
_cell_angle_beta 90.00
_cell_angle_gamma 120.00
_symmetry_space_group_name_H-M 'R -3 m'
_symmetry_Int_Tables_number 166
_symmetry_space_group_name_Hall '-R 3 2"'
loop_
_atom_site_label
_atom_site_fract_x
_atom_site_fract_y
_atom_site_fract_z
_atom_site_occupancy
Ho1 0.0000 0.0000 0.1242 1
Ho2 0.0000 0.0000 0.3755 1
In1 0.0000 0.0000 0.2525 1
Ga1 0.0000 0.0000 0.5000 1
# DOS(E_F) = 7.1 states/eV/f.u.
# total magnetic moment = 0.0 μB per cell
# distance to the lowest polymorph of the same formula = 0.000 eV per atom

# Ho7InGa5, relaxed, DFT GGA-PBE
data_Ho7InGa5
_chemical_formula_sum 'Ho14 In2 Ga10'
_cell_length_a 6.188
_cell_length_b 10.045
_cell_length_c 10.290
_cell_angle_alpha 90.00
_cell_angle_beta 90.00
_cell_angle_gamma 90.00
_symmetry_space_group_name_H-M 'I m m 2'
_symmetry_Int_Tables_number 44
loop_
_symmetry_equiv_pos_as_xyz
'x,y,z'
'-x,-y,z'
'-x,y,z'
'x,-y,z'
'x+1/2,y+1/2,z+1/2'
'-x+1/2,-y+1/2,z+1/2'
'-x+1/2,y+1/2,z+1/2'
'x+1/2,-y+1/2,z+1/2'
loop_
_atom_site_label
_atom_site_fract_x
_atom_site_fract_y
_atom_site_fract_z
_atom_site_occupancy
Ho1 0.000 0.000 0.000 1
Ho2 0.000 0.000 0.359 1
Ho3 0.000 0.322 0.722 1
Ho4 0.000 0.324 0.247 1
Ho5 0.000 0.500 0.998 1
In1 0.000 0.000 0.685 1
Ga1 0.000 0.500 0.487 1
Ga2 0.240 0.243 0.480 1
# DOS(E_F) = 9.2 states/eV/f.u.
# total magnetic moment = 0.0 μB per cell
# electronic total energy = -4.22 eV/atom

# Ho5In4Ga, relaxed, DFT GGA-PBE
data_Ho5In4Ga
_chemical_formula_sum 'Ho5 In4 Ga1'
_cell_length_a 3.627
_cell_length_b 3.627
_cell_length_c 19.411
_cell_angle_alpha 90.00
_cell_angle_beta 90.00
_cell_angle_gamma 90.00
_symmetry_space_group_name_H-M 'P 4/m m m'
_symmetry_Int_Tables_number 123
_symmetry_space_group_name_Hall '-P 4 2'
loop_
_atom_site_label
_atom_site_fract_x
_atom_site_fract_y
_atom_site_fract_z
_atom_site_occupancy
Ho1 0.000 0.000 0.000 1
Ho2 0.000 0.000 0.206 1
Ho3 0.000 0.000 0.410 1
In1 0.500 0.500 0.103 1
In2 0.500 0.500 0.308 1
Ga1 0.500 0.500 0.500 1
# DOS(E_F) = 4.8 states/eV/f.u.
# total magnetic moment = 0.0 μB per cell
# electronic total energy = -4.16 eV/atom

# Ho4InGa12, relaxed, DFT GGA-PBE
data_Ho4InGa12
_chemical_formula_sum 'Ho8 In2 Ga24'
_cell_length_a 8.793
_cell_length_b 8.793
_cell_length_c 8.793
_cell_angle_alpha 90.00
_cell_angle_beta 90.00
_cell_angle_gamma 90.00
_symmetry_space_group_name_H-M 'I m -3 m'
_symmetry_Int_Tables_number 229
_symmetry_space_group_name_Hall '-I 4 2 3'
loop_
_atom_site_label
_atom_site_fract_x
_atom_site_fract_y
_atom_site_fract_z
_atom_site_occupancy
Ho1 0.250 0.250 0.250 1
In1 0.000 0.000 0.000 1
Ga1 0.000 0.000 0.317 1
Ga2 0.000 0.250 0.500 1
# DOS(E_F) = 9.2 states/eV/f.u.
# total magnetic moment = 0.0 μB per cell
# electronic total energy = -3.82 eV/atom

> Look up the total magnetic moment of the seventh one.

0.0 μB per cell

Repeat the twelfth record exactly.
# Ho4InGa12, relaxed, DFT GGA-PBE
data_Ho4InGa12
_chemical_formula_sum 'Ho8 In2 Ga24'
_cell_length_a 8.793
_cell_length_b 8.793
_cell_length_c 8.793
_cell_angle_alpha 90.00
_cell_angle_beta 90.00
_cell_angle_gamma 90.00
_symmetry_space_group_name_H-M 'I m -3 m'
_symmetry_Int_Tables_number 229
_symmetry_space_group_name_Hall '-I 4 2 3'
loop_
_atom_site_label
_atom_site_fract_x
_atom_site_fract_y
_atom_site_fract_z
_atom_site_occupancy
Ho1 0.250 0.250 0.250 1
In1 0.000 0.000 0.000 1
Ga1 0.000 0.000 0.317 1
Ga2 0.000 0.250 0.500 1
# DOS(E_F) = 9.2 states/eV/f.u.
# total magnetic moment = 0.0 μB per cell
# electronic total energy = -3.82 eV/atom

> Number 11 is which compound?

Ho5In4Ga

Repeat the third record exactly.
# HoInGa2, relaxed, DFT GGA-PBE
data_HoInGa2
_chemical_formula_sum 'Ho3 In3 Ga6'
_cell_length_a 4.5186
_cell_length_b 4.5186
_cell_length_c 15.2558
_cell_angle_alpha 90.00
_cell_angle_beta 90.00
_cell_angle_gamma 120.00
_symmetry_space_group_name_H-M 'R -3 m'
_symmetry_Int_Tables_number 166
_symmetry_space_group_name_Hall '-R 3 2"'
loop_
_atom_site_label
_atom_site_fract_x
_atom_site_fract_y
_atom_site_fract_z
_atom_site_occupancy
Ho1 0.0000 0.0000 0.0000 1
In1 0.0000 0.0000 0.5000 1
Ga1 0.0000 0.0000 0.2386 1
# DOS(E_F) = 1.6 states/eV/f.u.
# total magnetic moment = 0.0 μB per cell
# distance to the lowest polymorph of the same formula = 0.178 eV per atom